This record from Alexandria describes a geometry-optimized NiIr structure. The functional is PBE.

Structure (CIF):
```
data_NiIr
_cell_length_a 3.6307
_cell_length_b 3.6307
_cell_length_c 5.2393
_cell_angle_alpha 90.00
_cell_angle_beta 90.00
_cell_angle_gamma 120.00
_space_group_name_H-M_alt 'P 63/m m c'
_space_group_IT_number 194
_space_group_name_Hall '-P 6c 2c'
loop_
_atom_site_label
_atom_site_fract_x
_atom_site_fract_y
_atom_site_fract_z
_atom_site_occupancy
Ni1 0.3333 0.6667 0.2500 1
Ir1 0.0000 0.0000 0.0000 1
```

Properties
Density of states at the Fermi level: 3.866 states/eV per cell
Calculated formation energy: 0.6333 eV/atom
E: -26.75 eV for the cell shown
Theoretical density: 13.93 g cm⁻³